# RbPdCl

Crystalline RbPdCl at its relaxed geometry (GGA-PBE, Alexandria).

Cell and atoms, written as POSCAR:
```
RbPdCl
1.0
9.794 0.004 0.013
0.048 4.647 -0.002
1.333 -1.689 4.120
Pd Rb Cl
2 2 2
direct
0.993 0.266 0.141 Pd
0.994 0.881 0.525 Pd
0.698 0.464 0.846 Rb
0.291 0.286 0.422 Rb
0.996 0.724 0.982 Cl
0.494 0.876 0.635 Cl
```

N(E_F): 0.0 states/eV/f.u.
Offset from the most stable computed form: 4 meV/atom
SG: P1, No. 1
Uncorrected formation energy: -0.795 eV/atom

# RbPd2Cl8

Crystalline RbPd2Cl8 at its relaxed geometry (GGA-PBE, Alexandria).

Cell and atoms, written as POSCAR:
```
RbPd2Cl8
1.0
-0.748 4.889 3.658
-3.296 -3.425 3.904
6.823 -1.971 4.030
Rb Pd Cl
1 2 8
direct
0.500 0.500 0.500 Rb
0.500 0.000 0.000 Pd
0.000 0.500 0.000 Pd
0.753 0.753 0.186 Cl
0.753 0.247 0.814 Cl
0.753 0.753 0.814 Cl
0.753 0.247 0.186 Cl
0.247 0.753 0.186 Cl
0.247 0.753 0.814 Cl
0.247 0.247 0.186 Cl
0.247 0.247 0.814 Cl
```

N(E_F): 13.0 states/eV/f.u.
Offset from the most stable computed form: 410 meV/atom
SG: P4/mmm, No. 123
Uncorrected formation energy: -0.220 eV/atom

# RbPdCl3

Crystalline RbPdCl3 at its relaxed geometry (GGA-PBE, Alexandria).

Cell and atoms, written as POSCAR:
```
RbPdCl3
1.0
8.076 0.000 0.000
0.000 4.459 0.050
0.000 4.308 7.957
Pd Rb Cl
2 2 6
direct
0.520 0.008 0.892 Pd
0.020 0.008 0.892 Pd
0.270 0.009 0.388 Rb
0.770 0.006 0.396 Rb
0.021 0.304 0.597 Cl
0.018 0.711 0.186 Cl
0.521 0.711 0.186 Cl
0.270 0.277 0.895 Cl
0.518 0.304 0.598 Cl
0.770 0.739 0.888 Cl
```

N(E_F): 0.0 states/eV/f.u.
SG: P2_1/m, No. 11
Uncorrected formation energy: -1.081 eV/atom